(1)
TlSb2Se2 | PBE | optimized geometry

Geometry as POSCAR:
```
TlSb2Se2
1.0
4.411 0.000 0.000
0.000 4.411 0.000
2.205 2.205 7.530
Se Sb Tl
2 2 1
Cartesian
2.205 2.205 1.283 Se
4.411 4.411 6.247 Se
2.205 4.411 3.765 Sb
4.411 2.205 3.765 Sb
0.000 0.000 0.000 Tl
```

Calculated values
Crystal system   tetragonal
Formation energy without anion corrections   65.2 meV per atom
Symmetry   I4/mmm

***

(2)
BeAs2C | PBE | optimized geometry

Geometry as POSCAR:
```
BeAs2C
1.0
4.949 0.000 0.000
0.000 4.949 0.000
2.474 2.474 4.792
C As Be
2 4 2
Cartesian
4.949 2.474 2.396 C
0.000 0.000 0.000 C
6.186 6.318 3.594 As
3.844 1.237 1.198 As
1.105 3.712 1.198 As
3.712 3.579 3.594 As
2.474 2.474 0.000 Be
2.474 4.949 2.396 Be
```

Calculated values
Crystal system   tetragonal
Calculated formation energy   0.353 eV/atom
Symmetry   I-42d

***

(3)
KVCo3 | PBE | optimized geometry

Geometry as POSCAR:
```
KVCo3
1.0
-1.859 1.200 3.793
2.675 -2.721 2.172
2.944 3.231 0.421
V K Co
1 1 3
Cartesian
1.880 0.855 3.193 V
0.000 0.000 0.000 K
1.338 -1.361 1.086 Co
1.472 1.615 0.211 Co
-0.930 0.600 1.896 Co
```

Calculated values
Crystal system   cubic
Calculated formation energy   2.533 eV/atom
Symmetry   Pm-3m

***

(4)
PrScCu2 | PBE | optimized geometry

Geometry as POSCAR:
```
PrScCu2
1.0
-2.901 -0.842 -1.581
1.392 -4.702 -0.050
-2.168 -0.687 4.344
Pr Sc Cu
1 1 2
Cartesian
-1.839 -3.116 1.357 Pr
-1.450 -0.421 -0.790 Sc
0.696 -2.351 -0.025 Cu
-1.084 -0.344 2.172 Cu
```

Calculated values
Crystal system   tetragonal
Calculated formation energy   -0.125 eV/atom
Symmetry   P4/mmm

***

(5)
KCd2Ni | PBE | optimized geometry

Geometry as POSCAR:
```
KCd2Ni
1.0
-2.335 -4.028 -0.160
2.291 -4.000 -0.670
0.661 -3.316 5.814
K Ni Cd
1 1 2
Cartesian
0.303 -5.670 2.435 K
0.001 -2.688 -0.140 Ni
0.001 -8.068 -0.432 Cd
0.579 -8.617 4.784 Cd
```

Calculated values
Crystal system   monoclinic
Calculated formation energy   0.102 eV/atom
Symmetry   Cm

***

(6)
BaPrInSn | PBE | optimized geometry

Geometry as POSCAR:
```
BaPrInSn
1.0
-5.575 -0.837 1.152
-2.312 -5.232 -0.624
-1.556 -3.029 4.638
Ba Sn Pr In
1 1 1 1
Cartesian
-4.721 -4.549 2.583 Ba
-2.361 -2.275 1.291 Sn
0.000 0.000 0.000 Pr
-7.082 -6.824 3.874 In
```

Calculated values
Crystal system   cubic
Calculated formation energy   -0.434 eV/atom
Symmetry   F-43m

***

| no. | D(E_F) (states/eV per cell) |
| --- | --- |
| 1 | 4.01 |
| 2 | 0.00 |
| 3 | 14.85 |
| 4 | 3.46 |
| 5 | 3.04 |
| 6 | 3.49 |